1.
CaC3 after structural relaxation, computed with PBE-GGA.

Cell lengths 6.866, 6.979, 4.946 Å; angles 90.00, 90.00, 90.00 degrees
Fractional positions:
C (0.567, 0.804, 0.250)
C (0.838, 0.151, 0.392)
C (0.162, 0.849, 0.608)
C (0.662, 0.651, 0.392)
C (0.067, 0.696, 0.750)
C (0.338, 0.349, 0.892)
C (0.662, 0.651, 0.108)
C (0.433, 0.196, 0.750)
C (0.338, 0.349, 0.608)
C (0.162, 0.849, 0.892)
C (0.838, 0.151, 0.108)
C (0.933, 0.304, 0.250)
Ca (0.320, 0.083, 0.250)
Ca (0.820, 0.417, 0.750)
Ca (0.180, 0.583, 0.250)
Ca (0.680, 0.917, 0.750)

Summary:
Its space group is Pnma (62). The calculation puts the total magnetization at 0.0 μB/f.u.

2.
CaC after structural relaxation, computed with PBE-GGA.

Cell lengths 3.763, 4.062, 6.926 Å; angles 80.30, 74.38, 62.73 degrees
Fractional positions:
C (0.047, 0.850, 0.057)
C (0.953, 0.150, 0.943)
Ca (0.268, 0.236, 0.232)
Ca (0.732, 0.764, 0.768)

Summary:
Its space group is P-1 (2). The calculation puts the total magnetization at 0.0 μB/f.u.

Number 1: polymorph energy (0 for the lowest one) 4.06 kcal/mol of atoms, formation energy from the elements 0.70 eV/atom, DFT total energy -6.72 eV/atom. Number 2: polymorph energy (0 for the lowest one) 0.00 kcal/mol of atoms, formation energy from the elements 0.00 eV/atom, DFT total energy -5.61 eV/atom.